DFT (PBE) results for a relaxed structure of Ti3TeC.

The space group is Cmcm (No. 63) and the conventional cell measures 3.357, 11.118 and 8.297 Å, with angles of 90.00, 90.00 and 90.00 degrees. The distinct sites, in fractional coordinates, are Ti at (0.000, 0.041, 0.250), Ti at (0.000, 0.382, 0.046), Te at (0.000, 0.255, 0.750) and C at (0.000, 0.000, 0.000).

The value obtained for the energy relative to the lowest polymorph listed for this composition is 0 meV per atom. As for the density of states at the Fermi level: 11.7 states/eV/cell. The magnetic moment comes out at 0.0 μB/cell. The formation energy (no corrections) comes out at -15.731 kcal/mol of atoms. The calculation puts the final energy at -157.84 eV per cell.